[1]
This record from Alexandria describes RbTaSbC2 at its PBEsol-relaxed geometry. The functional is SCAN.

The structure in POSCAR format:
```
RbTaSbC2
1.0
4.354 0.000 0.000
0.000 4.354 0.000
0.000 0.000 5.235
Rb Ta Sb C
1 1 1 2
Cartesian
0.000 0.000 0.000
0.000 0.000 2.618
2.177 2.177 2.618
0.000 2.177 0.000
2.177 0.000 0.000
```

Summary:
The energy relative to the elements, uncorrected comes out at 3.92 eV per atom. The calculation puts the density of states at the Fermi level at 3.2 states/eV/cell. As for the density: 6.90 g/cm³.


[2]
This record from Alexandria describes RbScC3 at its PBEsol-relaxed geometry. The functional is SCAN.

The structure in POSCAR format:
```
RbScC3
1.0
4.268 0.000 0.000
0.000 4.268 0.000
0.000 0.000 4.268
Rb Sc C
1 1 3
Cartesian
0.000 0.000 0.000
2.134 2.134 2.134
0.000 0.000 2.134
0.000 2.134 0.000
2.134 0.000 0.000
```

Summary:
The calculation puts the density of states at the Fermi level at 4.3 states/eV/cell. The value obtained for the formation energy from the elements is 3.6652 eV per atom. As for the density: 3.56 g/cm³.


[3]
This record from Alexandria describes RbCSe2 at its PBEsol-relaxed geometry. The functional is SCAN.

The structure in POSCAR format:
```
RbCSe2
1.0
2.902 1.676 5.495
-2.902 1.676 5.495
0.000 -3.351 5.495
Rb C Se
1 1 2
Cartesian
0.000 0.000 0.000
0.000 0.000 8.242
0.000 0.000 6.489
0.000 0.000 9.995
```

Summary:
The energy relative to the elements, uncorrected comes out at 0.21 eV per atom. The calculation puts the density of states at the Fermi level at 1.3 states/eV/cell. As for the density: 2.65 g/cm³.


[4]
This record from Alexandria describes RbC2Se2 at its PBEsol-relaxed geometry. The functional is SCAN.

The structure in POSCAR format:
```
RbC2Se2
1.0
8.568 0.000 0.000
0.000 8.568 0.000
0.000 0.000 3.144
Rb C Se
2 4 4
Cartesian
0.000 0.000 0.000
4.284 4.284 0.000
0.489 3.795 1.572
3.795 8.079 1.572
4.773 0.489 1.572
8.079 4.773 1.572
1.206 5.490 0.000
3.079 1.206 0.000
5.490 7.363 0.000
7.363 3.079 0.000
```

Summary:
The energy relative to the elements, uncorrected comes out at 1.09 eV per atom. The calculation puts the density of states at the Fermi level at 1.3 states/eV/cell. As for the density: 3.85 g/cm³.


[5]
This record from Alexandria describes RbCSe2 at its PBEsol-relaxed geometry. The functional is SCAN.

The structure in POSCAR format:
```
RbCSe2
1.0
-3.421 3.421 4.116
3.421 -3.421 4.116
3.421 3.421 -4.116
Rb C Se
2 2 4
Cartesian
0.000 0.000 0.000
0.000 3.421 2.058
3.421 0.000 2.058
0.000 0.000 4.116
1.710 2.742 -1.029
4.100 1.710 1.029
1.710 0.679 3.087
-0.679 1.710 5.144
```

Summary:
The energy relative to the elements, uncorrected comes out at 0.30 eV per atom. The calculation puts the density of states at the Fermi level at 2.1 states/eV/cell. As for the density: 4.40 g/cm³.


[6]
This record from Alexandria describes RbSn2C2 at its PBEsol-relaxed geometry. The functional is SCAN.

The structure in POSCAR format:
```
RbSn2C2
1.0
-2.221 2.221 6.185
2.221 -2.221 6.185
2.221 2.221 -6.185
Rb Sn C
1 2 2
Cartesian
0.000 0.000 0.000
2.221 0.000 3.093
0.000 2.221 3.093
0.000 0.000 3.625
0.000 0.000 8.745
```

Summary:
As for the offset from the most stable computed form: 136 meV per atom. The calculation puts the density of states at the Fermi level at 0.9 states/eV/cell. The value obtained for the formation energy from the elements is 1.2040 eV per atom. As for the density: 4.72 g/cm³.


[7]
This record from Alexandria describes RbSn2C2 at its PBEsol-relaxed geometry. The functional is SCAN.

The structure in POSCAR format:
```
RbSn2C2
1.0
-2.149 2.149 4.964
2.149 -2.149 4.964
2.149 2.149 -4.964
Rb Sn C
1 2 2
Cartesian
0.000 0.000 0.000
0.000 0.000 3.356
0.000 0.000 6.571
2.149 0.000 2.482
0.000 2.149 2.482
```

Summary:
As for the offset from the most stable computed form: 0 meV per atom. The calculation puts the density of states at the Fermi level at 1.6 states/eV/cell. The value obtained for the formation energy from the elements is 1.0682 eV per atom. As for the density: 6.28 g/cm³.


[8]
This record from Alexandria describes Rb2TaC at its PBEsol-relaxed geometry. The functional is SCAN.

The structure in POSCAR format:
```
Rb2TaC
1.0
0.000 3.850 3.850
3.850 0.000 3.850
3.850 3.850 0.000
Rb Ta C
2 1 1
Cartesian
1.925 1.925 1.925
5.776 5.776 5.776
0.000 0.000 0.000
3.850 3.850 3.850
```

Summary:
The calculation puts the density of states at the Fermi level at 4.0 states/eV/cell. The value obtained for the formation energy from the elements is 2.6950 eV per atom. As for the density: 5.29 g/cm³.


[9]
This record from Alexandria describes Rb2TaTlC at its PBEsol-relaxed geometry. The functional is SCAN.

The structure in POSCAR format:
```
Rb2TaTlC
1.0
6.317 0.000 0.000
0.000 6.317 0.000
0.000 0.000 4.029
Rb Ta Tl C
2 1 1 1
Cartesian
0.000 3.158 0.000
3.158 0.000 0.000
0.000 0.000 2.014
3.158 3.158 2.014
0.000 0.000 0.000
```

Summary:
The calculation puts the density of states at the Fermi level at 3.1 states/eV/cell. The value obtained for the formation energy from the elements is 0.9408 eV per atom. As for the density: 5.87 g/cm³.


[10]
This record from Alexandria describes Rb3TcC at its PBEsol-relaxed geometry. The functional is SCAN.

The structure in POSCAR format:
```
Rb3TcC
1.0
6.329 0.000 0.000
0.000 6.329 0.000
0.000 0.000 6.329
Rb Tc C
3 1 1
Cartesian
0.000 0.000 3.165
0.000 3.165 0.000
3.165 0.000 0.000
0.000 0.000 0.000
3.165 3.165 3.165
```

Summary:
The calculation puts the density of states at the Fermi level at 8.4 states/eV/cell. The value obtained for the formation energy from the elements is 2.1174 eV per atom. As for the density: 2.40 g/cm³.


[11]
This record from Alexandria describes ReC3 at its PBEsol-relaxed geometry. The functional is SCAN.

The structure in POSCAR format:
```
ReC3
1.0
1.446 0.835 5.332
-1.446 0.835 5.332
0.000 -1.669 5.332
Re C
1 3
Cartesian
0.000 0.000 0.000
0.000 0.000 6.686
0.000 0.000 7.998
0.000 0.000 9.310
```

Summary:
As for the offset from the most stable computed form: 0 meV per atom. The calculation puts the density of states at the Fermi level at 1.8 states/eV/cell. The value obtained for the formation energy from the elements is 0.8909 eV per atom. As for the density: 9.56 g/cm³.


[12]
This record from Alexandria describes Re2C at its PBEsol-relaxed geometry. The functional is SCAN.

The structure in POSCAR format:
```
Re2C
1.0
2.842 0.000 0.000
-1.421 2.461 0.000
0.000 0.000 9.842
Re C
4 2
Cartesian
0.000 1.641 1.067
0.000 1.641 3.854
1.421 0.820 5.988
1.421 0.820 8.775
0.000 1.641 7.381
1.421 0.820 2.460
```

Summary:
As for the offset from the most stable computed form: 0 meV per atom. The calculation puts the density of states at the Fermi level at 1.2 states/eV/cell. The value obtained for the formation energy from the elements is -0.0190 eV per atom. As for the density: 18.55 g/cm³.